{"formula": "TbSc2S", "functional": "PBE", "state": "relaxed", "lattice_angstrom": [[1.777, 1.026, 8.656], [-1.777, 1.026, 8.656], [0.000, -2.052, 8.656]], "species": ["Tb", "Sc", "Sc", "S"], "fractional_positions": [[0.000, 0.000, 0.000], [0.225, 0.225, 0.225], [0.441, 0.441, 0.441], [0.833, 0.833, 0.833]], "total_magnetization_mub_per_fu": 0.69, "formation_energy_uncorrected_mev_per_atom": -904, "space_group": "R3m (160)", "density_g_cm3": 4.93, "energy_ev_per_cell": -25.04, "relative_energy_mev_per_atom": 0}